--- 1 ---
NbAgClF, optimized geometry, DFT GGA-PBE; D(E_F) = 1.99 states/eV/f.u.
1.0
2.9490 0.0000 0.0000
0.0000 5.0758 0.0000
0.0000 0.0000 12.2066
Nb Ag Cl F
2 2 2 2
Cartesian
0.0000 0.0000 0.0000
0.0000 2.5379 6.1033
1.4745 0.0000 5.8845
1.4745 2.5379 11.9878
1.4745 0.0000 2.0046
1.4745 2.5379 8.1079
0.0000 0.0000 10.3048
0.0000 2.5379 4.2015


--- 2 ---
NbAgClF, optimized geometry, DFT GGA-PBE; D(E_F) = 1.63 states/eV/f.u.
1.0
2.8522 0.0000 0.0000
0.0000 5.2327 0.0000
0.0000 0.0000 11.7797
Nb Ag Cl F
2 2 2 2
Cartesian
0.0000 0.0000 0.0000
1.4261 2.6163 5.8898
0.0000 0.0000 5.9490
1.4261 2.6163 0.0592
0.0000 2.6163 7.8966
1.4261 0.0000 2.0068
0.0000 2.6163 4.2532
1.4261 0.0000 10.1430


Short version: 2 is the least stable of them.


--- 1 ---
AgSCl2F, optimized geometry, DFT GGA-PBE; D(E_F) = 6.14 states/eV/f.u.
1.0
4.9191 0.0000 0.0000
0.0000 4.9191 0.0000
0.0000 0.0000 5.0600
Ag S Cl F
1 1 2 1
Cartesian
0.0000 0.0000 0.0000
0.0000 0.0000 2.5300
0.0000 2.4596 0.0000
2.4596 0.0000 0.0000
2.4596 2.4596 2.5300


--- 2 ---
AgSCl2F, optimized geometry, DFT GGA-PBE; D(E_F) = 3.94 states/eV/f.u.
1.0
5.5017 0.0000 0.0000
0.0000 5.5017 0.0000
0.0000 0.0000 3.6086
Ag S Cl F
1 1 2 1
Cartesian
0.0000 0.0000 0.0000
2.7508 2.7508 0.0000
0.0000 2.7508 1.8043
2.7508 0.0000 1.8043
2.7508 2.7508 1.8043


Short version: 1 is the least stable of them.


--- 1 ---
FeAgCl2, optimized geometry, DFT GGA-PBE; D(E_F) = 4.56 states/eV/f.u.
1.0
5.9354 0.0000 0.0000
0.0000 5.9354 0.0000
0.0000 0.0000 10.9825
Fe Ag Cl
4 4 8
Cartesian
0.0000 0.0000 0.0000
0.0000 2.9677 2.7456
2.9677 0.0000 8.2369
2.9677 2.9677 5.4913
0.0000 0.0000 5.4913
0.0000 2.9677 8.2369
2.9677 0.0000 2.7456
2.9677 2.9677 0.0000
1.1900 1.4838 1.3728
1.4838 4.1577 4.1185
1.4838 4.7454 9.6097
1.7777 1.4838 6.8641
4.1577 4.4515 6.8641
4.4515 1.1900 9.6097
4.4515 1.7777 4.1185
4.7454 4.4515 1.3728


--- 2 ---
FeAgCl2, optimized geometry, DFT GGA-PBE; D(E_F) = 2.20 states/eV/f.u.
1.0
6.6196 0.0000 0.0000
0.0000 6.6196 0.0000
0.0000 0.0000 6.6196
Fe Ag Cl
4 4 8
Cartesian
0.0000 0.0000 0.0000
0.0000 3.3098 3.3098
3.3098 0.0000 3.3098
3.3098 3.3098 0.0000
0.0000 0.0000 3.3098
0.0000 3.3098 0.0000
3.3098 0.0000 0.0000
3.3098 3.3098 3.3098
1.6549 1.6549 1.6549
1.6549 1.6549 4.9647
1.6549 4.9647 1.6549
1.6549 4.9647 4.9647
4.9647 1.6549 1.6549
4.9647 1.6549 4.9647
4.9647 4.9647 1.6549
4.9647 4.9647 4.9647


--- 3 ---
FeAgCl2, optimized geometry, DFT GGA-PBE; D(E_F) = 3.13 states/eV/f.u.
1.0
3.2920 0.0000 0.0000
0.0000 4.6236 0.0000
0.0000 0.0000 12.6016
Fe Ag Cl
2 2 4
Cartesian
0.0000 0.0000 0.0000
1.6460 2.3118 6.3008
0.0000 0.0000 6.3008
1.6460 2.3118 0.0000
0.0000 2.3118 4.5633
0.0000 2.3118 8.0383
1.6460 0.0000 1.7375
1.6460 0.0000 10.8641


--- 4 ---
FeAgCl2, optimized geometry, DFT GGA-PBE; D(E_F) = 1.79 states/eV/f.u.
1.0
3.0283 0.0000 0.0000
0.0000 3.0283 0.0000
0.0000 0.0000 9.8863
Fe Ag Cl
1 1 2
Cartesian
0.0000 0.0000 0.0000
0.0000 0.0000 4.9432
1.5142 1.5142 1.5116
1.5142 1.5142 8.3747


Short version: 2 is the least stable of them.


--- 1 ---
FeAgCl2, optimized geometry, DFT GGA-PBE; D(E_F) = 2.07 states/eV/f.u.
1.0
11.4723 0.0000 0.0000
0.0000 3.1849 0.0000
-1.5693 0.0000 5.7295
Fe Ag Cl
2 2 4
Cartesian
0.0000 0.0000 0.0000
5.7362 1.5925 0.0000
3.9534 0.0000 1.3958
9.6895 1.5925 1.3958
1.5052 1.5925 0.9594
3.5717 0.0000 4.0677
7.2414 0.0000 0.9594
9.3078 1.5925 4.0677


--- 2 ---
FeAgCl2, optimized geometry, DFT GGA-PBE; D(E_F) = 2.89 states/eV/f.u.
1.0
3.1058 0.0000 0.0000
0.0000 4.1053 0.0000
0.0000 0.0000 12.2411
Fe Ag Cl
2 2 4
Cartesian
0.0000 0.0000 0.0000
1.5529 2.0527 6.1205
0.0000 2.0527 8.6817
1.5529 0.0000 2.5611
0.0000 0.0000 6.7167
0.0000 2.0527 4.1630
1.5529 0.0000 10.2836
1.5529 2.0527 0.5961


--- 3 ---
FeAgCl2, optimized geometry, DFT GGA-PBE; D(E_F) = 2.11 states/eV/f.u.
1.0
4.1374 0.0000 0.0000
0.0000 5.0070 0.0000
0.0000 0.0000 7.8924
Fe Ag Cl
2 2 4
Cartesian
0.0000 0.0000 0.0000
2.0687 2.5035 0.0000
0.0000 2.5035 1.8337
2.0687 0.0000 1.8337
0.0000 0.0000 3.3613
0.0000 2.5035 6.6144
2.0687 0.0000 6.6144
2.0687 2.5035 3.3613


Short version: 2 is the least stable of them.


--- 1 ---
FeAg2Cl, optimized geometry, DFT GGA-PBE; D(E_F) = 3.22 states/eV/f.u.
1.0
2.9337 0.0000 0.0000
0.0000 4.4775 0.0000
0.0000 0.0000 12.3913
Fe Ag Cl
2 4 2
Cartesian
0.0000 0.0000 0.0000
1.4669 2.2388 6.1956
0.0000 0.0000 5.4532
0.0000 2.2388 3.8089
1.4669 0.0000 10.0045
1.4669 2.2388 11.6488
0.0000 2.2388 8.0488
1.4669 0.0000 1.8532


--- 2 ---
FeAg2Cl, optimized geometry, DFT GGA-PBE; D(E_F) = 4.08 states/eV/f.u.
1.0
6.5812 0.0000 0.0000
0.0000 6.5812 0.0000
0.0000 0.0000 6.5812
Fe Ag Cl
4 8 4
Cartesian
0.0000 0.0000 0.0000
0.0000 3.2906 3.2906
3.2906 0.0000 3.2906
3.2906 3.2906 0.0000
0.0000 0.0000 3.2906
0.0000 3.2906 0.0000
1.6453 1.6453 1.6453
1.6453 4.9359 4.9359
3.2906 0.0000 0.0000
3.2906 3.2906 3.2906
4.9359 1.6453 4.9359
4.9359 4.9359 1.6453
1.6453 1.6453 4.9359
1.6453 4.9359 1.6453
4.9359 1.6453 1.6453
4.9359 4.9359 4.9359


--- 3 ---
FeAg2Cl, optimized geometry, DFT GGA-PBE; D(E_F) = 4.24 states/eV/f.u.
1.0
3.0967 0.0000 0.0000
0.0000 4.6027 0.0000
0.0000 0.0000 5.0402
Fe Ag Cl
1 2 1
Cartesian
0.0000 0.0000 0.0000
0.0000 2.3013 2.5201
1.5484 0.0000 2.5201
1.5484 2.3013 0.0000


Short version: 2 is the least stable of them.


--- 1 ---
FeAg2Cl, optimized geometry, DFT GGA-PBE; D(E_F) = 5.26 states/eV/f.u.
1.0
6.6391 0.0000 0.0000
0.0000 6.6391 0.0000
0.0000 0.0000 6.6391
Fe Ag Cl
4 8 4
Cartesian
0.0000 0.0000 0.0000
0.0000 3.3195 3.3195
3.3195 0.0000 3.3195
3.3195 3.3195 0.0000
1.6598 1.6598 1.6598
1.6598 1.6598 4.9793
1.6598 4.9793 1.6598
1.6598 4.9793 4.9793
4.9793 1.6598 1.6598
4.9793 1.6598 4.9793
4.9793 4.9793 1.6598
4.9793 4.9793 4.9793
0.0000 0.0000 3.3195
0.0000 3.3195 0.0000
3.3195 0.0000 0.0000
3.3195 3.3195 3.3195


--- 2 ---
FeAg2Cl, optimized geometry, DFT GGA-PBE; D(E_F) = 3.65 states/eV/f.u.
1.0
5.3730 0.0000 0.0000
0.0000 9.2376 0.0000
0.0000 0.0000 2.9176
Fe Ag Cl
2 4 2
Cartesian
0.0000 0.0000 0.0000
2.6865 4.6188 0.0000
1.3433 2.3094 1.4588
1.3433 6.9282 1.4588
4.0298 2.3094 1.4588
4.0298 6.9282 1.4588
0.0000 4.6188 0.0000
2.6865 0.0000 0.0000


--- 3 ---
FeAg2Cl, optimized geometry, DFT GGA-PBE; D(E_F) = 6.54 states/eV/f.u.
1.0
7.4963 0.0000 0.0000
0.0000 7.4963 0.0000
0.0000 0.0000 5.5557
Fe Ag Cl
4 8 4
Cartesian
0.0000 0.0000 0.0000
0.0000 3.7482 1.3889
3.7482 0.0000 4.1668
3.7482 3.7482 2.7779
1.8180 1.8741 0.6945
1.8741 5.5662 2.0834
1.8741 5.6783 4.8613
1.9301 1.8741 3.4723
5.5662 5.6222 3.4723
5.6222 1.8180 4.8613
5.6222 1.9301 2.0834
5.6783 5.6222 0.6945
0.0000 0.0000 2.7779
0.0000 3.7482 4.1668
3.7482 0.0000 1.3889
3.7482 3.7482 0.0000


--- 4 ---
FeAg2Cl, optimized geometry, DFT GGA-PBE; D(E_F) = 3.66 states/eV/f.u.
1.0
4.6235 0.0000 0.0000
0.0000 2.9876 0.0000
-1.6033 0.0000 5.2642
Fe Ag Cl
1 2 1
Cartesian
0.0000 0.0000 0.0000
-0.8016 1.4938 2.6321
1.5101 0.0000 2.6321
2.3118 1.4938 0.0000


Short version: 1 is the least stable of them.


--- 1 ---
FeAgCl3, optimized geometry, DFT GGA-PBE; D(E_F) = 4.79 states/eV/f.u.
1.0
6.4702 -6.0763 0.0000
6.4702 6.0763 0.0000
-1.6586 0.0000 6.4294
Fe Ag Cl
4 4 12
Cartesian
2.1036 1.0128 1.8415
1.2743 -1.0128 5.0562
10.0075 1.0128 1.3733
9.1782 -1.0128 4.5880
6.0556 3.3354 1.6074
5.2262 1.2148 4.8221
6.0556 -1.2148 1.6074
5.2262 -3.3354 4.8221
0.8244 0.8704 3.7884
3.3916 3.1869 5.6821
1.6537 -0.8704 0.5737
4.3280 1.0375 2.3475
7.0609 3.1869 3.9620
3.4987 -1.0375 5.5623
7.7831 1.0375 0.8672
4.2209 -3.1869 2.4674
6.9538 -1.0375 4.0819
9.6281 0.8704 5.8557
7.8902 -3.1869 0.7473
10.4574 -0.8704 2.6410


--- 2 ---
FeAgCl3, optimized geometry, DFT GGA-PBE; D(E_F) = 4.12 states/eV/f.u.
1.0
4.8398 0.0000 0.0000
0.0000 4.8398 0.0000
0.0000 0.0000 4.8398
Fe Ag Cl
1 1 3
Cartesian
0.0000 0.0000 0.0000
2.4199 2.4199 2.4199
0.0000 0.0000 2.4199
0.0000 2.4199 0.0000
2.4199 0.0000 0.0000


Short version: 2 is the least stable of them.


--- 1 ---
FeAgCl3, optimized geometry, DFT GGA-PBE; D(E_F) = 1.94 states/eV/f.u.
1.0
5.0565 0.0000 0.0000
-2.3641 6.4917 0.0000
-0.2292 -2.0912 7.8767
Fe Ag Cl
2 2 6
Cartesian
0.0000 0.0000 0.0000
-0.0052 1.3693 2.4569
0.7532 2.0882 6.4339
1.6798 3.7174 3.8603
-1.6657 2.3877 7.3022
-0.9452 3.3785 3.0294
1.2358 1.8432 0.5503
1.3333 0.8568 4.2368
3.4892 -1.5767 6.0932
3.8095 -0.4724 1.9052


--- 2 ---
FeAgCl3, optimized geometry, DFT GGA-PBE; D(E_F) = 5.79 states/eV/f.u.
1.0
5.0335 0.0000 0.0000
0.0000 5.0335 0.0000
0.0000 0.0000 5.0335
Fe Ag Cl
1 1 3
Cartesian
0.0000 0.0000 0.0000
2.5168 2.5168 2.5168
0.0000 2.5168 2.5168
2.5168 0.0000 2.5168
2.5168 2.5168 0.0000


Short version: 2 is the least stable of them.